Computed, not measured: a relaxed Cu2Pt2Rh crystal at the PBE-GGA level of DFT.

Properties
Energy above the most stable polymorph in this dataset: 57 meV/atom
Energy of formation from the pure elements: 0.09 eV/f.u.

a = 4.2535 Å, b = 4.2533 Å, c = 4.7901 Å
α = 69.30°, β = 69.30°, γ = 63.40°
Last column: nearest neighbours and their distance in Å.
Fractional coordinates of all 5 atoms:
1 Pt 0.7085 0.2085 0.3753  5 Cu 2.58-2.86, 3 Pt 2.72-2.75, 2 Rh 2.74-2.79
2 Pt 0.2915 0.7915 0.6247  5 Cu 2.58-2.86, 3 Pt 2.72-2.75, 2 Rh 2.74-2.79
3 Cu 0.9028 0.4028 0.7865  1 Cu 2.51, 4 Pt 2.58-2.60, 3 Rh 2.66-2.67
4 Cu 0.0972 0.5972 0.2135  1 Cu 2.51, 4 Pt 2.58-2.60, 3 Rh 2.66-2.67
5 Rh 0.5000 0.0000 0.0000  6 Cu 2.66-2.67, 4 Pt 2.74-2.79



Computed, not measured: a relaxed Ba5Sb2IO crystal at the PBE-GGA level of DFT.

Properties
Formation energy from raw total energies: -1.4236 eV/atom

a = 5.2825 Å, b = 5.2825 Å, c = 12.7237 Å
α = 90.00°, β = 90.00°, γ = 90.00°
Last column: nearest neighbours and their distance in Å.
Fractional coordinates of all 9 atoms:
1 Sb 0.5000 0.5000 0.2934  9 Ba 3.73-3.75
2 Sb 0.5000 0.5000 0.7066  9 Ba 3.73-3.75
3 Ba 0.0000 0.5000 0.5000  2 O 2.64
4 Ba 0.0000 0.0000 0.2663  1 O 2.97
5 Ba 0.5000 0.5000 0.0000  2 Sb 3.73, 4 I 3.74
6 Ba 0.0000 0.0000 0.7337  1 O 2.97
7 Ba 0.5000 0.0000 0.5000  2 O 2.64
8 I 0.0000 0.0000 0.0000  6 Ba 3.39-3.74
9 O 0.0000 0.0000 0.5000  4 Ba 2.64



Computed, not measured: a relaxed MgCd3Pd3 crystal at the PBE-GGA level of DFT.

Properties
Energy of formation from the pure elements: -2.90 eV/f.u.

a = 6.5547 Å, b = 6.5547 Å, c = 6.1575 Å
α = 90.00°, β = 90.00°, γ = 89.07°
Last column: nearest neighbours and their distance in Å.
Fractional coordinates of all 14 atoms:
1 Cd 0.7375 0.7375 0.5000  6 Pd 2.79-2.89, 2 Mg 3.08, 2 Cd 3.09
2 Cd 0.2625 0.2625 0.5000  6 Pd 2.79-2.89, 2 Mg 3.08, 2 Cd 3.09
3 Cd 0.7332 0.2668 0.5000  6 Pd 2.82-2.89, 4 Cd 3.08-3.09
4 Cd 0.2660 0.7340 0.0000  6 Pd 2.78-2.89, 2 Cd 3.08
5 Cd 0.7340 0.2660 0.0000  6 Pd 2.78-2.89, 2 Cd 3.08
6 Cd 0.2668 0.7332 0.5000  6 Pd 2.82-2.89, 4 Cd 3.08-3.09
7 Pd 0.0000 0.0000 0.7486  2 Mg 2.77, 6 Cd 2.89, 2 Pd 3.06-3.10
8 Pd 0.0000 0.0000 0.2514  2 Mg 2.77, 6 Cd 2.89, 2 Pd 3.06-3.10
9 Pd 0.0000 0.5000 0.2440  2 Mg 2.75, 6 Cd 2.78-2.82, 1 Pd 3.01
10 Pd 0.5000 0.0000 0.2440  2 Mg 2.75, 6 Cd 2.78-2.82, 1 Pd 3.01
11 Pd 0.0000 0.5000 0.7560  2 Mg 2.75, 6 Cd 2.78-2.82, 1 Pd 3.01
12 Pd 0.5000 0.0000 0.7560  2 Mg 2.75, 6 Cd 2.78-2.82, 1 Pd 3.01
13 Mg 0.2456 0.2456 0.0000  6 Pd 2.75-2.77
14 Mg 0.7544 0.7544 0.0000  6 Pd 2.75-2.77



Computed, not measured: a relaxed Pm2AlGe3Ir4 crystal at the PBE-GGA level of DFT.

Properties
Energy of formation from the pure elements: -8.18 eV/f.u.

a = 4.2251 Å, b = 4.2251 Å, c = 10.3533 Å
α = 90.00°, β = 90.00°, γ = 90.00°
Last column: nearest neighbours and their distance in Å.
Fractional coordinates of all 10 atoms:
1 Ir 0.0000 0.5000 0.3680  3 Ge 2.45-2.52, 2 Al 2.52
2 Ir 0.0000 0.0000 0.0000  4 Ge 2.51
3 Ir 0.5000 0.0000 0.6320  3 Ge 2.45-2.52, 2 Al 2.52
4 Ir 0.5000 0.5000 0.0000  4 Ge 2.51
5 Ge 0.0000 0.5000 0.1310  5 Ir 2.45-2.51
6 Ge 0.0000 0.0000 0.5000  4 Ir 2.52
7 Ge 0.5000 0.0000 0.8690  5 Ir 2.45-2.51
8 Pm 0.5000 0.0000 0.2502  8 Ir 3.23-3.34, 6 Ge 3.23-3.34, 2 Al 3.34
9 Pm 0.0000 0.5000 0.7498  8 Ir 3.23-3.34, 6 Ge 3.23-3.34, 2 Al 3.34
10 Al 0.5000 0.5000 0.5000  4 Ir 2.52



Computed, not measured: a relaxed Na2LaPmSe4 crystal at the PBE-GGA level of DFT.

Properties
Formation energy from raw total energies: -1.7228 eV/atom

a = 4.3188 Å, b = 7.4814 Å, c = 7.4191 Å
α = 109.66°, β = 90.00°, γ = 90.00°
Last column: nearest neighbours and their distance in Å.
Fractional coordinates of all 8 atoms:
1 Se 0.5000 0.2405 0.2352  2 Pm 2.97, 1 La 3.02, 3 Na 3.08-3.12
2 Se 0.0000 0.2492 0.7631  1 Pm 2.96, 2 La 3.01, 3 Na 3.08-3.13
3 Se 0.5000 0.7595 0.7648  2 Pm 2.97, 1 La 3.02, 3 Na 3.08-3.12
4 Se 0.0000 0.7508 0.2369  1 Pm 2.96, 2 La 3.01, 3 Na 3.08-3.13
5 Pm 0.0000 0.0000 0.0000  6 Se 2.96-2.97
6 Na 0.5000 0.0000 0.5000  6 Se 3.08
7 Na 0.0000 0.5000 0.5000  6 Se 3.12-3.13
8 La 0.5000 0.5000 0.0000  6 Se 3.01-3.02



Computed, not measured: a relaxed InPd crystal at the PBE-GGA level of DFT.

Properties
Energy of formation from the pure elements: -0.58 eV/f.u.

a = 5.4384 Å, b = 5.4384 Å, c = 5.4561 Å
α = 90.00°, β = 90.00°, γ = 90.00°
Last column: nearest neighbours and their distance in Å.
Fractional coordinates of all 8 atoms:
1 Pd 0.3049 0.6951 0.0000  6 In 2.73-2.81, 1 Pd 3.00
2 Pd 0.1951 0.1951 0.5000  6 In 2.73-2.81, 1 Pd 3.00
3 Pd 0.6951 0.3049 0.0000  6 In 2.73-2.81, 1 Pd 3.00
4 Pd 0.8049 0.8049 0.5000  6 In 2.73-2.81, 1 Pd 3.00
5 In 0.2011 0.2011 0.0000  6 Pd 2.73-2.81
6 In 0.7989 0.7989 0.0000  6 Pd 2.73-2.81
7 In 0.2989 0.7011 0.5000  6 Pd 2.73-2.81
8 In 0.7011 0.2989 0.5000  6 Pd 2.73-2.81



Computed, not measured: a relaxed Be2FeRe crystal at the PBE-GGA level of DFT.

Properties
Energy above the most stable polymorph in this dataset: 109 meV/atom
Energy of formation from the pure elements: -0.05 eV/f.u.

a = 3.9131 Å, b = 3.9131 Å, c = 3.9131 Å
α = 60.00°, β = 60.00°, γ = 60.00°
Last column: nearest neighbours and their distance in Å.
Fractional coordinates of all 4 atoms:
1 Fe 0.5000 0.5000 0.5000  4 Re 2.40, 4 Be 2.40
2 Re 0.7500 0.7500 0.7500  4 Be 2.40, 4 Fe 2.40
3 Be 0.2500 0.2500 0.2500  4 Fe 2.40, 4 Be 2.40
4 Be 0.0000 0.0000 0.0000  4 Re 2.40, 4 Be 2.40



Computed, not measured: a relaxed Cd3CI crystal at the PBE-GGA level of DFT.

Properties
Formation energy from raw total energies: 1.8047 eV/atom
Energy above the most stable polymorph in this dataset: 1221 meV/atom

a = 6.2628 Å, b = 6.2628 Å, c = 6.2628 Å
α = 90.00°, β = 90.00°, γ = 90.00°
Last column: nearest neighbours and their distance in Å.
Fractional coordinates of all 5 atoms:
1 Cd 0.0000 0.5000 0.0000  2 I 3.13
2 Cd 0.5000 0.0000 0.0000  2 I 3.13
3 Cd 0.0000 0.0000 0.5000  2 I 3.13
4 C 0.5000 0.5000 0.5000  12 Cd 4.43
5 I 0.0000 0.0000 0.0000  6 Cd 3.13



Computed, not measured: a relaxed Tl4H4Pb3 crystal at the PBE-GGA level of DFT.

Properties
DFT total energy: -2.834 eV/atom

a = 6.4054 Å, b = 6.3492 Å, c = 6.6194 Å
α = 96.13°, β = 101.50°, γ = 94.38°
Last column: nearest neighbours and their distance in Å.
Fractional coordinates of all 11 atoms:
1 Tl 0.2862 0.6399 0.5607  3 H 2.40-2.69
2 Tl 0.5689 0.7645 0.1066  1 H 2.30
3 Tl 0.7138 0.3601 0.4393  3 H 2.40-2.69
4 Tl 0.4311 0.2355 0.8934  1 H 2.30
5 H 0.0532 0.3658 0.3265  2 Pb 2.23-2.38, 2 Tl 2.40-2.43
6 H 0.8454 0.9823 0.3235  1 Pb 2.01
7 H 0.1546 0.0177 0.6765  1 Pb 2.01
8 H 0.9468 0.6342 0.6735  2 Pb 2.23-2.38, 2 Tl 2.40-2.43
9 Pb 0.0000 0.5000 0.0000  2 H 2.38
10 Pb 0.8668 0.9647 0.7497  2 H 2.01-2.23
11 Pb 0.1332 0.0353 0.2503  2 H 2.01-2.23



Computed, not measured: a relaxed LaTmMgAu crystal at the PBE-GGA level of DFT.

Properties
Energy of formation from the pure elements: -1.51 eV/f.u.

a = 5.3054 Å, b = 5.3054 Å, c = 5.3054 Å
α = 60.00°, β = 60.00°, γ = 60.00°
Last column: nearest neighbours and their distance in Å.
Fractional coordinates of all 4 atoms:
1 La 0.2500 0.2500 0.2500  4 Mg 3.25, 4 Au 3.25
2 Mg 0.5000 0.5000 0.5000  4 La 3.25, 4 Tm 3.25
3 Tm 0.7500 0.7500 0.7500  4 Mg 3.25, 4 Au 3.25
4 Au 0.0000 0.0000 0.0000  4 La 3.25, 4 Tm 3.25



Computed, not measured: a relaxed CuP2IrO crystal at the PBE-GGA level of DFT.

Properties
Formation energy from raw total energies: 0.7247 eV/atom
Energy above the most stable polymorph in this dataset: 255 meV/atom

a = 4.5849 Å, b = 4.5849 Å, c = 3.3933 Å
α = 90.00°, β = 90.00°, γ = 90.00°
Last column: nearest neighbours and their distance in Å.
Fractional coordinates of all 5 atoms:
1 Ir 0.5000 0.5000 0.5000  8 P 2.85
2 P 0.5000 0.0000 0.0000  2 Cu 2.29
3 P 0.0000 0.5000 0.0000  2 Cu 2.29
4 O 0.0000 0.0000 0.5000  2 Cu 1.70
5 Cu 0.0000 0.0000 0.0000  2 O 1.70



Computed, not measured: a relaxed SmErZn3 crystal at the PBE-GGA level of DFT.

Properties
Energy of formation from the pure elements: -1.20 eV/f.u.

a = 4.8652 Å, b = 6.3280 Å, c = 9.0318 Å
α = 124.33°, β = 105.62°, γ = 90.00°
Last column: nearest neighbours and their distance in Å.
Fractional coordinates of all 10 atoms:
1 Sm 0.6127 0.2745 0.2253  7 Zn 2.90-3.24
2 Sm 0.3873 0.7255 0.7747  7 Zn 2.90-3.24
3 Zn 0.1982 0.2418 0.3963  1 Zn 2.74, 3 Sm 2.90-2.92, 1 Er 2.92
4 Zn 0.5779 0.7452 0.1557  3 Zn 2.67-2.80
5 Zn 0.4221 0.2548 0.8443  3 Zn 2.67-2.80
6 Zn 0.0137 0.8090 0.0273  4 Zn 2.72-2.80
7 Zn 0.8018 0.7582 0.6037  1 Zn 2.74, 3 Sm 2.90-2.92, 1 Er 2.92
8 Zn 0.9863 0.1910 0.9727  4 Zn 2.72-2.80
9 Er 0.1818 0.7559 0.3635  7 Zn 2.92-3.20
10 Er 0.8182 0.2441 0.6365  7 Zn 2.92-3.20